Record 1
A plane-wave DFT calculation with GGA-PBE was carried out for an optimized crystal structure of Ce3Cd4Ag4.

Values from the calculation:
E_form = -0.141 eV per atom
Fermi-level density of states = 24.712 states/eV/f.u.
E = -3.129 eV per atom

```
11
Lattice="4.269 0.000 -1.175 -0.900 7.269 -3.267 0.141 -0.428 8.852" Properties=species:S:1:pos:R:3 pbc="T T T"
Ce 0.446 0.784 1.621
Ce 3.064 6.057 2.788
Ce -0.450 3.635 -1.634
Cd 1.373 0.692 4.987
Cd 2.487 3.324 0.692
Cd 2.137 6.149 -0.578
Cd 1.023 3.517 3.718
Ag 0.366 5.067 1.329
Ag 3.144 1.774 3.080
Ag 1.398 5.949 -3.262
Ag 1.971 1.320 -1.181
```

=====

Record 2
A plane-wave DFT calculation with GGA-PBE was carried out for an optimized crystal structure of Ce2Cd3Ag.

Values from the calculation:
E_form = -0.237 eV per atom
Fermi-level density of states = 12.967 states/eV/f.u.
E = -3.147 eV per atom

```
6
Lattice="3.227 0.000 0.000 0.000 5.091 0.000 0.000 0.000 8.825" Properties=species:S:1:pos:R:3 pbc="T T T"
Ce 0.000 2.546 0.059
Ce 0.000 0.000 4.359
Cd 1.614 0.000 7.348
Cd 1.614 0.000 1.488
Cd 1.614 2.546 5.863
Ag 1.614 2.546 2.948
```